No. 1
Material: Nd3Mo2N6
Method: DFT, PBE
State: relaxed

Cell lengths 10.1836, 10.1836, 10.1836 Å; angles 157.36, 157.36, 32.24 degrees
Sites, in units of the cell vectors:
Nd 0.0000 0.0000 0.0000
Nd 0.1798 0.1798 0.0000
Nd 0.8202 0.8202 0.0000
Mo 0.4012 0.4012 0.0000
Mo 0.5988 0.5988 0.0000
N 0.0861 0.5861 0.5000
N 0.3018 0.3018 0.0000
N 0.4139 0.9139 0.5000
N 0.5861 0.0861 0.5000
N 0.6982 0.6982 0.0000
N 0.9139 0.4139 0.5000

Summary:
total moment = 0.000 μB per cell
formation energy without anion corrections = -0.9902 eV/atom

---

No. 2
Material: NdMo2N4
Method: DFT, PBE
State: relaxed

Cell lengths 5.2402, 5.2402, 10.0801 Å; angles 90.00, 90.00, 142.97 degrees
Sites, in units of the cell vectors:
Nd 0.1219 0.8781 0.7500
Nd 0.8781 0.1219 0.2500
Mo 0.3823 0.6177 0.5570
Mo 0.3823 0.6177 0.9430
Mo 0.6177 0.3823 0.0570
Mo 0.6177 0.3823 0.4430
N 0.0000 0.0000 0.0000
N 0.0000 0.0000 0.5000
N 0.2614 0.7386 0.1041
N 0.2614 0.7386 0.3959
N 0.4276 0.5724 0.7500
N 0.5724 0.4276 0.2500
N 0.7386 0.2614 0.6041
N 0.7386 0.2614 0.8959

Summary:
total moment = 0.000 μB per cell
formation energy without anion corrections = -0.6418 eV/atom

---

No. 3
Material: Nd2MoN4
Method: DFT, PBE
State: relaxed

Cell lengths 5.9291, 5.9589, 6.9148 Å; angles 90.00, 108.64, 90.00 degrees
Sites, in units of the cell vectors:
Nd 0.1818 0.2500 0.0285
Nd 0.2660 0.2500 0.5610
Nd 0.7340 0.7500 0.4390
Nd 0.8182 0.7500 0.9715
Mo 0.2645 0.7500 0.8058
Mo 0.7355 0.2500 0.1942
N 0.0455 0.5084 0.7453
N 0.0455 0.9916 0.7453
N 0.4467 0.7500 0.0777
N 0.4709 0.7500 0.6516
N 0.5291 0.2500 0.3484
N 0.5533 0.2500 0.9223
N 0.9545 0.0084 0.2547
N 0.9545 0.4916 0.2547

Summary:
energy above the most stable polymorph in this dataset = 0.000 eV/atom
total moment = 0.000 μB per cell
formation energy without anion corrections = -0.9780 eV/atom

---

No. 4
Material: Nd3MoN4
Method: DFT, PBE
State: relaxed

Cell lengths 7.8615, 6.9202, 5.2752 Å; angles 90.00, 90.00, 90.00 degrees
Sites, in units of the cell vectors:
Nd 0.0000 0.1469 0.0000
Nd 0.2428 0.3372 0.5053
Nd 0.2572 0.6628 0.0053
Nd 0.5000 0.8531 0.5000
Nd 0.7428 0.6628 0.0053
Nd 0.7572 0.3372 0.5053
Mo 0.0000 0.8247 0.4467
Mo 0.5000 0.1753 0.9467
N 0.0000 0.1103 0.4873
N 0.0000 0.8179 0.0766
N 0.2198 0.6974 0.4963
N 0.2802 0.3026 0.9963
N 0.5000 0.1821 0.5766
N 0.5000 0.8897 0.9873
N 0.7198 0.3026 0.9963
N 0.7802 0.6974 0.4963

Summary:
total moment = 0.002 μB per cell
formation energy without anion corrections = -0.9732 eV/atom

---

No. 5
Material: Nd5MoN6
Method: DFT, PBE
State: relaxed

Cell lengths 6.1162, 6.1162, 6.1172 Å; angles 99.76, 99.76, 119.75 degrees
Sites, in units of the cell vectors:
Nd 0.0000 0.0000 0.0000
Nd 0.1666 0.8334 0.5000
Nd 0.3362 0.6638 0.0000
Nd 0.6638 0.3362 0.0000
Nd 0.8334 0.1666 0.5000
Mo 0.5000 0.5000 0.5000
N 0.1238 0.4246 0.2744
N 0.2671 0.2671 0.7431
N 0.4246 0.1238 0.2744
N 0.5754 0.8762 0.7256
N 0.7329 0.7329 0.2569
N 0.8762 0.5754 0.7256

Summary:
total moment = 0.955 μB per cell
formation energy without anion corrections = -1.0897 eV/atom

---

No. 6
Material: Nd4MoN5
Method: DFT, PBE
State: relaxed

Cell lengths 6.0974, 6.0974, 6.0974 Å; angles 100.43, 100.43, 129.64 degrees
Sites, in units of the cell vectors:
Nd 0.1074 0.6941 0.8014
Nd 0.3059 0.1074 0.4133
Nd 0.6941 0.8926 0.5867
Nd 0.8926 0.3059 0.1986
Mo 0.4348 0.4348 0.0000
N 0.0822 0.0822 0.0000
N 0.2290 0.4059 0.6409
N 0.4059 0.7649 0.1768
N 0.5881 0.2290 0.8232
N 0.7649 0.5881 0.3591

Summary:
total moment = 0.000 μB per cell
formation energy without anion corrections = -1.0716 eV/atom